Below is a geometry-optimized MnSi2N structure, with properties calculated at the GGA-PBE level.

Calculated values
Its crystal system is monoclinic. As for the space group: No. 8. As for the total magnetization: 0.0 Bohr magnetons per cell. As for the density of states at the Fermi level: 0.1960 states/eV per atom. The value obtained for the final energy is -28.53 eV per cell. The raw formation energy is -4.54 kJ per mole of atoms.

Structure (POSCAR):
```
MnSi2N
1.0
2.7861 -0.0047 -0.0078
-1.3857 4.2222 -0.0004
-1.3817 -0.8623 4.4276
Mn Si N
1 2 1
Cartesian
0.0258 0.6480 3.0481
0.0163 0.3850 0.0002
-1.3658 2.4176 2.4897
-1.3664 3.7815 1.4707
```


Below is a geometry-optimized CdBiAs2Se structure, with properties calculated at the GGA-PBE level.

Calculated values
The energy relative to the lowest polymorph listed for this composition is 0.000 eV per formula unit. Its crystal system is tetragonal. As for the space group: No. 123. As for the total magnetization: 0.0 Bohr magnetons per cell. As for the density of states at the Fermi level: 1.1137 states/eV per atom. The value obtained for the final energy is -14.21 eV per cell. The raw formation energy is 65.05 kJ per mole of atoms.

Structure (POSCAR):
```
CdBiAs2Se
1.0
-4.3576 1.6465 2.1721
-2.2377 0.1774 -4.6237
-1.5757 -4.9267 0.5735
As Bi Se Cd
2 1 1 1
Cartesian
-1.1188 0.0887 -2.3118
-2.1788 0.8232 1.0860
-4.0854 -1.5514 -0.9391
-0.7878 -2.4633 0.2867
0.0000 0.0000 0.0000
```


Below is a geometry-optimized SrBeHg2 structure, with properties calculated at the GGA-PBE level.

Calculated values
Its crystal system is orthorhombic. As for the space group: No. 47. As for the total magnetization: 0.0 Bohr magnetons per cell. As for the density of states at the Fermi level: 0.3845 states/eV per atom. The value obtained for the final energy is -5.63 eV per cell.

Structure (POSCAR):
```
SrBeHg2
1.0
-1.6695 -2.1546 -1.9495
-1.5277 -1.3929 2.8478
-5.7971 5.0644 -0.6327
Sr Hg Be
1 2 1
Cartesian
-3.0479 -0.5077 0.2909
-5.4890 4.7953 -0.5991
-3.2066 2.8014 -0.3500
-5.9465 2.0246 -0.0254
```


Below is a geometry-optimized Na3Sm3UTe8 structure, with properties calculated at the GGA-PBE level.

Calculated values
Its crystal system is trigonal. As for the space group: No. 166. As for the total magnetization: 2.0 Bohr magnetons per cell. As for the density of states at the Fermi level: 0.3422 states/eV per atom. The value obtained for the final energy is -72.11 eV per cell. The raw formation energy is -113.04 kJ per mole of atoms.

Structure (POSCAR):
```
Na3Sm3UTe8
1.0
-7.8104 1.5332 -4.1049
7.2743 -2.0078 -4.8215
-3.9587 -6.5614 5.0816
Na Sm U Te
3 3 1 8
Cartesian
0.0000 0.0000 0.0000
3.6371 -1.0039 -2.4107
-0.2680 -0.2373 -4.4632
-5.8845 -2.5141 0.4883
-2.2474 -3.5180 -1.9224
1.6578 -4.2846 0.1301
-1.9794 -3.2807 2.5408
0.6739 -2.3500 -2.1600
-5.1687 -4.6860 -1.6848
-3.2250 -1.6410 -4.2458
-1.2698 -5.3951 0.4010
-6.9208 -0.6210 -1.7963
2.4259 -6.4151 -2.0485
-2.9526 -1.3999 0.2893
-1.5422 -5.6361 -4.1341
```


Below is a geometry-optimized Rh2WAu structure, with properties calculated at the GGA-PBE level.

Calculated values
The energy relative to the lowest polymorph listed for this composition is 0.737 eV per formula unit. Its crystal system is orthorhombic. As for the space group: No. 65. As for the total magnetization: 0.0 Bohr magnetons per cell. As for the density of states at the Fermi level: 1.0930 states/eV per atom. The value obtained for the final energy is -30.59 eV per cell.

Structure (POSCAR):
```
Rh2WAu
1.0
2.1460 0.7674 -4.2005
-2.2167 4.0517 1.2281
2.3282 0.8653 1.3475
Rh W Au
2 1 1
Cartesian
1.0730 0.3837 -2.1002
-1.1084 2.0259 0.6141
1.1641 0.4327 0.6738
1.1287 2.8422 -0.8124
```


Below is a geometry-optimized PaNb2Ga structure, with properties calculated at the GGA-PBE level.

Calculated values
The energy relative to the lowest polymorph listed for this composition is 1.358 eV per formula unit. Its crystal system is trigonal. As for the space group: No. 166. As for the total magnetization: 0.0 Bohr magnetons per cell. As for the density of states at the Fermi level: 1.0570 states/eV per atom. The value obtained for the final energy is -31.87 eV per cell.

Structure (POSCAR):
```
PaNb2Ga
1.0
-1.8917 -2.7219 -0.6885
-0.2622 -2.4975 2.2705
-7.1104 1.8820 3.7730
Nb Pa Ga
2 1 1
Cartesian
-7.0074 -2.4695 4.0463
-2.2569 -0.8679 1.3087
-4.6321 -1.6687 2.6775
0.0000 0.0000 0.0000
```


Below is a geometry-optimized FeHgBr structure, with properties calculated at the GGA-PBE level.

Calculated values
The energy relative to the lowest polymorph listed for this composition is 0.333 eV per formula unit. Its crystal system is orthorhombic. As for the space group: No. 42. As for the total magnetization: 3.3 Bohr magnetons per cell. As for the density of states at the Fermi level: 0.8872 states/eV per atom. The value obtained for the final energy is -9.68 eV per cell. The raw formation energy is 24.43 kJ per mole of atoms.

Structure (POSCAR):
```
FeHgBr
1.0
-3.7772 5.6349 -0.7242
-5.9302 3.2214 -0.9449
-0.9987 0.6597 3.0127
Br Fe Hg
1 1 1
Cartesian
-9.3286 8.4999 -1.4655
-3.9766 3.4625 1.4118
-7.1082 6.4101 -0.2718
```


Below is a geometry-optimized Pm2Zn5Pd5 structure, with properties calculated at the GGA-PBE level.

Calculated values
Its crystal system is orthorhombic. As for the space group: No. 47. As for the total magnetization: 0.0 Bohr magnetons per cell. As for the density of states at the Fermi level: 0.4715 states/eV per atom. The value obtained for the final energy is -49.58 eV per cell.

Structure (POSCAR):
```
Pm2Zn5Pd5
1.0
-0.5416 -1.7845 3.9434
1.6357 -4.6757 -1.8912
8.7972 2.1883 2.1985
Pm Zn Pd
2 5 5
Cartesian
0.8179 -2.3379 -0.9456
4.3986 1.0942 1.0992
4.9457 -2.1359 2.1253
3.1462 -3.8565 1.0996
6.7452 -0.4154 3.1510
2.3268 -1.5145 2.0469
7.5646 -2.7574 2.2037
3.7482 -1.6089 -0.2133
7.2198 1.7960 1.8043
1.5774 0.3924 0.3942
6.6847 -0.8785 0.5205
-0.2708 -0.8922 1.9717
```


Below is a geometry-optimized MgC3F structure, with properties calculated at the GGA-PBE level.

Calculated values
The energy relative to the lowest polymorph listed for this composition is 0.000 eV per formula unit. Its crystal system is cubic. As for the space group: No. 221. As for the total magnetization: 0.0 Bohr magnetons per cell. As for the density of states at the Fermi level: 0.7532 states/eV per atom. The value obtained for the final energy is -17.34 eV per cell. The raw formation energy is 266.22 kJ per mole of atoms.

Structure (POSCAR):
```
MgC3F
1.0
-0.2690 -0.8953 3.6920
0.1602 -3.7006 -0.8857
3.7956 0.0928 0.2991
Mg C F
1 3 1
Cartesian
1.8434 -2.2516 1.5527
0.0801 -1.8503 -0.4428
1.8978 0.0464 0.1495
-0.1345 -0.4476 1.8460
0.0000 0.0000 0.0000
```


Below is a geometry-optimized MnAu4 structure, with properties calculated at the GGA-PBE level.

Calculated values
The energy relative to the lowest polymorph listed for this composition is 1.358 eV per formula unit. Its crystal system is tetragonal. As for the space group: No. 139. As for the total magnetization: 4.6 Bohr magnetons per cell. As for the density of states at the Fermi level: 0.5038 states/eV per atom. The value obtained for the final energy is -21.31 eV per cell.

Structure (POSCAR):
```
MnAu4
1.0
4.6212 -5.1135 2.9810
0.0798 -7.3947 1.3047
-1.2551 5.8414 -4.5489
Mn Au
1 4
Cartesian
0.0000 0.0000 0.0000
2.8583 -2.7631 0.2875
1.9063 -5.0721 1.7379
2.7947 -7.4361 2.5479
0.5876 -3.9037 -0.5506
```


Below is a geometry-optimized NpAg2O5 structure, with properties calculated at the GGA-PBE level.

Calculated values
Its crystal system is orthorhombic. As for the space group: No. 63. As for the total magnetization: 1.8 Bohr magnetons per cell. As for the density of states at the Fermi level: 0.6365 states/eV per atom. The value obtained for the final energy is -108.74 eV per cell. The raw formation energy is -131.90 kJ per mole of atoms.

Structure (POSCAR):
```
NpAg2O5
1.0
-1.2626 2.7047 3.3874
-1.5332 -5.6738 0.9501
9.3037 -1.7054 4.8296
Np Ag O
2 4 10
Cartesian
5.0731 -2.4689 6.8712
1.4348 -2.2055 2.2959
1.6826 -2.4821 5.6179
-1.4223 -1.9129 4.0061
4.8253 -2.1924 3.5492
7.9303 -2.7615 5.1610
5.7204 -3.7647 8.1471
3.3459 -3.3294 6.9145
2.1290 -3.5167 3.6015
-0.3457 -3.0631 2.3169
0.7100 -1.0399 4.1038
5.7980 -3.6346 5.0633
4.3789 -1.1578 5.5655
6.8536 -1.6114 6.8501
0.7875 -0.9098 1.0200
3.1621 -1.3450 2.2526
```


Below is a geometry-optimized GdAg3 structure, with properties calculated at the GGA-PBE level.

Calculated values
Its crystal system is cubic. As for the space group: No. 221. As for the total magnetization: 7.4 Bohr magnetons per cell. As for the density of states at the Fermi level: 1.0166 states/eV per atom. The value obtained for the final energy is -22.85 eV per cell.

Structure (POSCAR):
```
GdAg3
1.0
4.4380 0.0000 0.0000
0.0000 4.4380 0.0000
0.0000 0.0000 4.4380
Gd Ag
1 3
Cartesian
0.0000 0.0000 0.0000
0.0000 2.2190 2.2190
2.2190 0.0000 2.2190
2.2190 2.2190 0.0000
```